# TaSb2As (PBE, optimized geometry)
data_TaSb2As
_chemical_formula_sum 'Ta1 Sb2 As1'
_cell_length_a 9.489
_cell_length_b 9.489
_cell_length_c 9.489
_cell_angle_alpha 20.50
_cell_angle_beta 20.50
_cell_angle_gamma 20.50
_symmetry_space_group_name_H-M 'P 1'
_symmetry_Int_Tables_number 1
loop_
_symmetry_equiv_pos_as_xyz
'x,y,z'
loop_
_atom_site_label
_atom_site_type_symbol
_atom_site_fract_x
_atom_site_fract_y
_atom_site_fract_z
_atom_site_occupancy
Sb1 Sb 0.763 0.763 0.763 1
Sb2 Sb 0.995 0.995 0.995 1
Ta1 Ta 0.507 0.507 0.507 1
As1 As 0.235 0.235 0.235 1
# Final energy in eV per cell: -24.6
# Space-group type: R3m, No. 160

# SmGe2Bi2Pt7 (PBE, optimized geometry)
data_SmGe2Bi2Pt7
_chemical_formula_sum 'Sm1 Ge2 Bi2 Pt7'
_cell_length_a 4.041
_cell_length_b 4.041
_cell_length_c 15.805
_cell_angle_alpha 82.69
_cell_angle_beta 82.69
_cell_angle_gamma 89.97
_symmetry_space_group_name_H-M 'P 1'
_symmetry_Int_Tables_number 1
loop_
_symmetry_equiv_pos_as_xyz
'x,y,z'
loop_
_atom_site_label
_atom_site_type_symbol
_atom_site_fract_x
_atom_site_fract_y
_atom_site_fract_z
_atom_site_occupancy
Pt1 Pt 0.500 0.500 0.000 1
Pt2 Pt 0.429 0.929 0.143 1
Pt3 Pt 0.929 0.429 0.143 1
Pt4 Pt 0.302 0.302 0.396 1
Pt5 Pt 0.698 0.698 0.604 1
Pt6 Pt 0.071 0.571 0.857 1
Pt7 Pt 0.571 0.071 0.857 1
Sm1 Sm 0.000 0.000 0.000 1
Ge1 Ge 0.382 0.382 0.238 1
Ge2 Ge 0.618 0.618 0.762 1
Bi1 Bi 0.789 0.789 0.422 1
Bi2 Bi 0.211 0.211 0.578 1
# Energy relative to the elements in meV per atom: -543
# Space-group type: C2/m, No. 12

# LiYThSe3 (PBE, optimized geometry)
data_LiYThSe3
_chemical_formula_sum 'Li2 Y2 Th2 Se6'
_cell_length_a 3.959
_cell_length_b 8.524
_cell_length_c 8.817
_cell_angle_alpha 103.63
_cell_angle_beta 90.00
_cell_angle_gamma 90.00
_symmetry_space_group_name_H-M 'P 1'
_symmetry_Int_Tables_number 1
loop_
_symmetry_equiv_pos_as_xyz
'x,y,z'
loop_
_atom_site_label
_atom_site_type_symbol
_atom_site_fract_x
_atom_site_fract_y
_atom_site_fract_z
_atom_site_occupancy
Th1 Th 0.750 0.804 0.781 1
Th2 Th 0.250 0.196 0.219 1
Li1 Li 0.750 0.911 0.414 1
Li2 Li 0.250 0.089 0.586 1
Y1 Y 0.750 0.338 0.855 1
Y2 Y 0.250 0.662 0.145 1
Se1 Se 0.250 0.781 0.506 1
Se2 Se 0.750 0.445 0.196 1
Se3 Se 0.250 0.091 0.870 1
Se4 Se 0.750 0.909 0.130 1
Se5 Se 0.750 0.219 0.494 1
Se6 Se 0.250 0.555 0.804 1
# Final energy in eV per cell: -71.0
# Space-group type: P2_1/m, No. 11

# Dy12HoCo6 (PBE, optimized geometry)
data_Dy12HoCo6
_chemical_formula_sum 'Dy12 Ho1 Co6'
_cell_length_a 8.449
_cell_length_b 8.449
_cell_length_c 8.449
_cell_angle_alpha 109.47
_cell_angle_beta 109.47
_cell_angle_gamma 109.47
_symmetry_space_group_name_H-M 'P 1'
_symmetry_Int_Tables_number 1
loop_
_symmetry_equiv_pos_as_xyz
'x,y,z'
loop_
_atom_site_label
_atom_site_type_symbol
_atom_site_fract_x
_atom_site_fract_y
_atom_site_fract_z
_atom_site_occupancy
Co1 Co 0.114 0.614 0.500 1
Co2 Co 0.500 0.886 0.386 1
Co3 Co 0.614 0.500 0.114 1
Co4 Co 0.386 0.500 0.886 1
Co5 Co 0.500 0.114 0.614 1
Co6 Co 0.886 0.386 0.500 1
Dy1 Dy 0.309 0.115 0.806 1
Dy2 Dy 0.497 0.806 0.691 1
Dy3 Dy 0.691 0.497 0.806 1
Dy4 Dy 0.115 0.806 0.309 1
Dy5 Dy 0.194 0.309 0.503 1
Dy6 Dy 0.885 0.194 0.691 1
Dy7 Dy 0.309 0.503 0.194 1
Dy8 Dy 0.806 0.691 0.497 1
Dy9 Dy 0.503 0.194 0.309 1
Dy10 Dy 0.691 0.885 0.194 1
Dy11 Dy 0.806 0.309 0.115 1
Dy12 Dy 0.194 0.691 0.885 1
Ho1 Ho 0.000 0.000 0.000 1
# Energy relative to the elements in meV per atom: -135
# Space-group type: Im-3, No. 204

# PaBeIr (PBE, optimized geometry)
data_PaBeIr
_chemical_formula_sum 'Pa4 Be4 Ir4'
_cell_length_a 4.211
_cell_length_b 6.631
_cell_length_c 7.049
_cell_angle_alpha 90.00
_cell_angle_beta 90.00
_cell_angle_gamma 90.00
_symmetry_space_group_name_H-M 'P 1'
_symmetry_Int_Tables_number 1
loop_
_symmetry_equiv_pos_as_xyz
'x,y,z'
loop_
_atom_site_label
_atom_site_type_symbol
_atom_site_fract_x
_atom_site_fract_y
_atom_site_fract_z
_atom_site_occupancy
Be1 Be 0.250 0.389 0.308 1
Be2 Be 0.250 0.111 0.808 1
Be3 Be 0.750 0.611 0.692 1
Be4 Be 0.750 0.889 0.192 1
Pa1 Pa 0.250 0.663 0.987 1
Pa2 Pa 0.250 0.837 0.487 1
Pa3 Pa 0.750 0.337 0.013 1
Pa4 Pa 0.750 0.163 0.513 1
Ir1 Ir 0.750 0.935 0.856 1
Ir2 Ir 0.250 0.435 0.644 1
Ir3 Ir 0.250 0.065 0.144 1
Ir4 Ir 0.750 0.565 0.356 1
# Offset from the most stable computed form in meV per atom: 0
# Energy relative to the elements in meV per atom: -634
# Space-group type: Pnma, No. 62

# Sr3NiP4 (PBE, optimized geometry)
data_Sr3NiP4
_chemical_formula_sum 'Sr3 Ni1 P4'
_cell_length_a 4.747
_cell_length_b 5.336
_cell_length_c 8.319
_cell_angle_alpha 108.71
_cell_angle_beta 106.58
_cell_angle_gamma 90.00
_symmetry_space_group_name_H-M 'P 1'
_symmetry_Int_Tables_number 1
loop_
_symmetry_equiv_pos_as_xyz
'x,y,z'
loop_
_atom_site_label
_atom_site_type_symbol
_atom_site_fract_x
_atom_site_fract_y
_atom_site_fract_z
_atom_site_occupancy
P1 P 0.614 0.400 0.227 1
P2 P 0.614 0.827 0.227 1
P3 P 0.386 0.173 0.773 1
P4 P 0.386 0.600 0.773 1
Sr1 Sr 0.000 0.500 0.000 1
Sr2 Sr 0.809 0.809 0.618 1
Sr3 Sr 0.191 0.191 0.382 1
Ni1 Ni 0.500 0.000 0.000 1
# Energy relative to the elements in meV per atom: -861
# Space-group type: Immm, No. 71